Density functional theory data (PBE with a Hubbard U) for an optimized crystal structure of TlVAgF6.

**Space-group type**: P1 (1)
**Energy**: -4.84 eV per atom
**M_tot**: 0.9 μB per formula unit

Unit cell a=6.071 b=6.083 c=5.264 alpha=90.37 beta=89.75 gamma=59.23
Positions (direct):
1 F 0.587 0.056 0.295
2 F 0.064 0.608 0.686
3 Tl 0.010 0.984 0.019
4 Ag 0.661 0.669 0.538
5 V 0.333 0.333 0.491
6 F 0.074 0.369 0.281
7 F 0.582 0.323 0.703
8 F 0.311 0.086 0.690
9 F 0.378 0.573 0.296